A plane-wave DFT calculation with PBE was carried out for a relaxed structure of CdRe2Ag.

Structure (CIF):
```
data_CdRe2Ag
_chemical_formula_sum 'Cd2 Re4 Ag2'
_space_group_name_H-M_alt 'I 4/m m m'
_space_group_IT_number 139
_space_group_name_Hall '-I 4 2'
_cell_length_a 3.7780
_cell_length_b 3.7780
_cell_length_c 9.4130
_cell_angle_alpha 90.00
_cell_angle_beta 90.00
_cell_angle_gamma 90.00
loop_
_atom_site_label
_atom_site_type_symbol
_atom_site_fract_x
_atom_site_fract_y
_atom_site_fract_z
Cd1 Cd 0.0000 0.0000 0.0000
Re1 Re 0.0000 0.5000 0.2500
Ag1 Ag 0.0000 0.0000 0.5000
```

Output
Energy relative to the elements ... 296 kJ/mol of formula units
Total magnetization ... 0.000 μB/cell
Crystal system ... tetragonal
Density of states at the Fermi level ... 7.6 states/eV per cell